# 1
A geometry-optimized HgMoAsSe2 structure. Source: Alexandria, functional PBE.

The structure belongs to space group P4/mmm (No. 123); the cell edges are 4.931, 4.931 and 5.045 Å and the angles 90.00°, 90.00° and 90.00°. The inequivalent atoms are Hg at (0.000, 0.000, 0.000), Mo at (0.500, 0.500, 0.500), As at (0.500, 0.500, 0.000) and Se at (0.000, 0.500, 0.500).

The calculation puts the total moment at 0.00 μB/f.u. The value obtained for the offset from the most stable computed form is 0.000 eV per atom.

---

# 2
A geometry-optimized HgMoAs2Se structure. Source: Alexandria, functional PBE.

The structure belongs to space group P4/mmm (No. 123); the cell edges are 4.986, 4.986 and 4.872 Å and the angles 90.00°, 90.00° and 90.00°. The inequivalent atoms are Hg at (0.000, 0.000, 0.000), Mo at (0.500, 0.500, 0.500), As at (0.000, 0.500, 0.500) and Se at (0.500, 0.500, 0.000).

The calculation puts the total moment at 0.00 μB/f.u. The value obtained for the offset from the most stable computed form is 0.000 eV per atom.

---

# 3
A geometry-optimized TcHgMoAs2 structure. Source: Alexandria, functional PBE.

The structure belongs to space group P4/mmm (No. 123); the cell edges are 4.853, 4.853 and 4.941 Å and the angles 90.00°, 90.00° and 90.00°. The inequivalent atoms are Tc at (0.000, 0.000, 0.000), Hg at (0.500, 0.500, 0.000), Mo at (0.000, 0.000, 0.500) and As at (0.000, 0.500, 0.500).

The calculation puts the total moment at 2.36 μB/f.u. The calculation puts the calculated formation energy at 21.19 kcal/mol of atoms.

---

# 4
A geometry-optimized VHgMo2As structure. Source: Alexandria, functional PBE.

The structure belongs to space group P4/mmm (No. 123); the cell edges are 4.627, 4.627 and 4.583 Å and the angles 90.00°, 90.00° and 90.00°. The inequivalent atoms are V at (0.000, 0.000, 0.000), Hg at (0.500, 0.500, 0.500), Mo at (0.000, 0.500, 0.000) and As at (0.000, 0.000, 0.500).

The calculation puts the total moment at 0.19 μB/f.u. The calculation puts the calculated formation energy at 25.08 kcal/mol of atoms.

---

# 5
A geometry-optimized Hg2AsN structure. Source: Alexandria, functional PBE.

The structure belongs to space group Fm-3m (No. 225); the cell edges are 6.774, 6.774 and 6.774 Å and the angles 90.00°, 90.00° and 90.00°. The inequivalent atoms are Hg at (0.250, 0.250, 0.250), As at (0.000, 0.000, 0.000) and N at (0.000, 0.000, 0.500).

The calculation puts the total moment at 2.10 μB/f.u. The value obtained for the offset from the most stable computed form is 0.408 eV per atom.

---

# 6
A geometry-optimized Hg3AsN structure. Source: Alexandria, functional PBE.

The structure belongs to space group Pm-3m (No. 221); the cell edges are 4.721, 4.721 and 4.721 Å and the angles 90.00°, 90.00° and 90.00°. The inequivalent atoms are Hg at (0.000, 0.000, 0.500), As at (0.500, 0.500, 0.500) and N at (0.000, 0.000, 0.000).

The calculation puts the total moment at 0.00 μB/f.u. The value obtained for the offset from the most stable computed form is 0.000 eV per atom.

---

# 7
A geometry-optimized HgAs2N structure. Source: Alexandria, functional PBE.

The structure belongs to space group I-42d (No. 122); the cell edges are 5.625, 5.625 and 10.480 Å and the angles 90.00°, 90.00° and 90.00°. The inequivalent atoms are Hg at (0.000, 0.000, 0.000), As at (0.159, 0.250, 0.625) and N at (0.000, 0.000, 0.500).

The calculation puts the total moment at 0.00 μB/f.u. The value obtained for the offset from the most stable computed form is 0.000 eV per atom.

---

# 8
A geometry-optimized Hg2AsN structure. Source: Alexandria, functional PBE.

The structure belongs to space group I-42d (No. 122); the cell edges are 5.831, 5.831 and 10.652 Å and the angles 90.00°, 90.00° and 90.00°. The inequivalent atoms are Hg at (0.182, 0.250, 0.125), As at (0.000, 0.000, 0.500) and N at (0.000, 0.000, 0.000).

The calculation puts the total moment at 0.00 μB/f.u. The value obtained for the offset from the most stable computed form is 0.000 eV per atom.

---

# 9
A geometry-optimized HgAs2N2 structure. Source: Alexandria, functional PBE.

The structure belongs to space group I4/mmm (No. 139); the cell edges are 3.675, 3.675 and 13.906 Å and the angles 90.00°, 90.00° and 90.00°. The inequivalent atoms are Hg at (0.000, 0.000, 0.000), As at (0.000, 0.000, 0.313) and N at (0.000, 0.500, 0.250).

The calculation puts the total moment at 0.00 μB/f.u. The value obtained for the calculated total energy is -47.988 eV for the cell shown.

---

# 10
A geometry-optimized HgAs3N structure. Source: Alexandria, functional PBE.

The structure belongs to space group Pm-3m (No. 221); the cell edges are 4.466, 4.466 and 4.466 Å and the angles 90.00°, 90.00° and 90.00°. The inequivalent atoms are Hg at (0.000, 0.000, 0.000), As at (0.000, 0.500, 0.500) and N at (0.500, 0.500, 0.500).

The calculation puts the total moment at 0.00 μB/f.u. The value obtained for the offset from the most stable computed form is 0.000 eV per atom.

---

# 11
A geometry-optimized Hg4As2N3 structure. Source: Alexandria, functional PBE.

The structure belongs to space group Cccm (No. 66); the cell edges are 6.585, 21.765 and 5.854 Å and the angles 90.00°, 90.00° and 90.00°. The inequivalent atoms are Hg at (0.007, 0.192, 0.000), Hg at (0.196, 0.052, 0.500), As at (0.031, 0.376, 0.000), N at (0.000, 0.000, 0.250) and N at (0.000, 0.326, 0.250).

The calculation puts the total moment at 0.00 μB/f.u. The value obtained for the calculated total energy is -116.167 eV for the cell shown.

---

# 12
A geometry-optimized Hg3AsN structure. Source: Alexandria, functional PBE.

The structure belongs to space group Pm-3m (No. 221); the cell edges are 5.500, 5.500 and 5.500 Å and the angles 90.00°, 90.00° and 90.00°. The inequivalent atoms are Hg at (0.000, 0.000, 0.500), As at (0.000, 0.000, 0.000) and N at (0.500, 0.500, 0.500).

The calculation puts the total moment at 2.54 μB/f.u. The value obtained for the offset from the most stable computed form is 0.188 eV per atom.

---

# 13
A geometry-optimized HgAsN3 structure. Source: Alexandria, functional PBE.

The structure belongs to space group Pm-3m (No. 221); the cell edges are 3.871, 3.871 and 3.871 Å and the angles 90.00°, 90.00° and 90.00°. The inequivalent atoms are Hg at (0.000, 0.000, 0.000), As at (0.500, 0.500, 0.500) and N at (0.000, 0.500, 0.500).

The calculation puts the total moment at 2.40 μB/f.u. The value obtained for the calculated total energy is -21.243 eV for the cell shown.

---

# 14
A geometry-optimized HgAsN structure. Source: Alexandria, functional PBE.

The structure belongs to space group P1 (No. 1); the cell edges are 4.448, 5.452 and 6.498 Å and the angles 114.49°, 96.32° and 98.34°. The inequivalent atoms are Hg at (0.000, 0.000, 0.000), Hg at (0.279, 0.510, 0.588), As at (0.506, 0.207, 0.757), As at (0.754, 0.902, 0.439), N at (0.131, 0.926, 0.671) and N at (0.873, 0.137, 0.318).

The calculation puts the total moment at 0.00 μB/f.u. The value obtained for the calculated total energy is -22.995 eV for the cell shown.

---

# 15
A geometry-optimized HgAs2N structure. Source: Alexandria, functional PBE.

The structure belongs to space group Fm-3m (No. 225); the cell edges are 6.490, 6.490 and 6.490 Å and the angles 90.00°, 90.00° and 90.00°. The inequivalent atoms are Hg at (0.000, 0.000, 0.000), As at (0.250, 0.250, 0.250) and N at (0.000, 0.000, 0.500).

The calculation puts the total moment at 0.00 μB/f.u. The value obtained for the offset from the most stable computed form is 0.687 eV per atom.

---

# 16
A geometry-optimized HgAs3N structure. Source: Alexandria, functional PBE.

The structure belongs to space group Pm-3m (No. 221); the cell edges are 5.162, 5.162 and 5.162 Å and the angles 90.00°, 90.00° and 90.00°. The inequivalent atoms are Hg at (0.000, 0.000, 0.000), As at (0.000, 0.000, 0.500) and N at (0.500, 0.500, 0.500).

The calculation puts the total moment at 0.00 μB/f.u. The value obtained for the offset from the most stable computed form is 1.517 eV per atom.

---

# 17
A geometry-optimized HgAsN3 structure. Source: Alexandria, functional PBE.

The structure belongs to space group Pm-3m (No. 221); the cell edges are 4.207, 4.207 and 4.207 Å and the angles 90.00°, 90.00° and 90.00°. The inequivalent atoms are Hg at (0.000, 0.000, 0.000), As at (0.500, 0.500, 0.500) and N at (0.000, 0.000, 0.500).

The calculation puts the total moment at 2.06 μB/f.u. The value obtained for the calculated total energy is -16.301 eV for the cell shown.

---

# 18
A geometry-optimized HgAsNO2 structure. Source: Alexandria, functional PBE.

The structure belongs to space group P4/mmm (No. 123); the cell edges are 4.125, 4.125 and 4.228 Å and the angles 90.00°, 90.00° and 90.00°. The inequivalent atoms are Hg at (0.000, 0.000, 0.000), As at (0.500, 0.500, 0.500), N at (0.000, 0.000, 0.500) and O at (0.000, 0.500, 0.000).

The calculation puts the total moment at 0.00 μB/f.u. The value obtained for the calculated total energy is -16.529 eV for the cell shown.

---

# 19
A geometry-optimized HgAsNO2 structure. Source: Alexandria, functional PBE.

The structure belongs to space group P4/mmm (No. 123); the cell edges are 3.675, 3.675 and 4.300 Å and the angles 90.00°, 90.00° and 90.00°. The inequivalent atoms are Hg at (0.000, 0.000, 0.000), As at (0.500, 0.500, 0.500), N at (0.500, 0.500, 0.000) and O at (0.000, 0.500, 0.500).

The calculation puts the total moment at 0.00 μB/f.u. The value obtained for the calculated total energy is -22.057 eV for the cell shown.

---

# 20
A geometry-optimized HgAsN2O structure. Source: Alexandria, functional PBE.

The structure belongs to space group P4/mmm (No. 123); the cell edges are 4.230, 4.230 and 4.151 Å and the angles 90.00°, 90.00° and 90.00°. The inequivalent atoms are Hg at (0.000, 0.000, 0.000), As at (0.500, 0.500, 0.500), N at (0.000, 0.500, 0.000) and O at (0.000, 0.000, 0.500).

The calculation puts the total moment at 1.21 μB/f.u. The value obtained for the calculated total energy is -16.348 eV for the cell shown.

---

# 21
A geometry-optimized HgAsN2O structure. Source: Alexandria, functional PBE.

The structure belongs to space group P4/mmm (No. 123); the cell edges are 3.944, 3.944 and 3.755 Å and the angles 90.00°, 90.00° and 90.00°. The inequivalent atoms are Hg at (0.000, 0.000, 0.000), As at (0.500, 0.500, 0.500), N at (0.000, 0.500, 0.500) and O at (0.500, 0.500, 0.000).

The calculation puts the total moment at 1.37 μB/f.u. The value obtained for the calculated total energy is -21.491 eV for the cell shown.

---

# 22
A geometry-optimized HgAsP2N structure. Source: Alexandria, functional PBE.

The structure belongs to space group P4/mmm (No. 123); the cell edges are 4.893, 4.893 and 5.306 Å and the angles 90.00°, 90.00° and 90.00°. The inequivalent atoms are Hg at (0.000, 0.000, 0.000), As at (0.000, 0.000, 0.500), P at (0.000, 0.500, 0.000) and N at (0.500, 0.500, 0.500).

The calculation puts the total moment at 1.06 μB/f.u. The value obtained for the calculated total energy is -11.425 eV for the cell shown.

---

# 23
A geometry-optimized HgAs2PtN structure. Source: Alexandria, functional PBE.

The structure belongs to space group P4/mmm (No. 123); the cell edges are 5.241, 5.241 and 3.862 Å and the angles 90.00°, 90.00° and 90.00°. The inequivalent atoms are Hg at (0.000, 0.000, 0.000), As at (0.000, 0.500, 0.000), Pt at (0.500, 0.500, 0.500) and N at (0.000, 0.000, 0.500).

The calculation puts the total moment at 0.00 μB/f.u. The value obtained for the calculated total energy is -15.289 eV for the cell shown.

---

# 24
A geometry-optimized HgAsPtN2 structure. Source: Alexandria, functional PBE.

The structure belongs to space group P4/mmm (No. 123); the cell edges are 3.791, 3.791 and 7.492 Å and the angles 90.00°, 90.00° and 90.00°. The inequivalent atoms are Hg at (0.000, 0.000, 0.000), As at (0.500, 0.500, 0.000), Pt at (0.000, 0.000, 0.500) and N at (0.000, 0.500, 0.500).

The calculation puts the total moment at 0.93 μB/f.u. The value obtained for the calculated total energy is -21.435 eV for the cell shown.

---

# 25
A geometry-optimized ReHgAs2N structure. Source: Alexandria, functional PBE.

The structure belongs to space group P4/mmm (No. 123); the cell edges are 4.741, 4.741 and 5.481 Å and the angles 90.00°, 90.00° and 90.00°. The inequivalent atoms are Re at (0.000, 0.000, 0.000), Hg at (0.000, 0.000, 0.500), As at (0.000, 0.500, 0.000) and N at (0.500, 0.500, 0.500).

The calculation puts the total moment at 2.51 μB/f.u. The value obtained for the calculated total energy is -23.880 eV for the cell shown.

---

# 26
A geometry-optimized Re2HgAsN structure. Source: Alexandria, functional PBE.

The structure belongs to space group P4/mmm (No. 123); the cell edges are 5.173, 5.173 and 3.957 Å and the angles 90.00°, 90.00° and 90.00°. The inequivalent atoms are Re at (0.000, 0.500, 0.000), Hg at (0.000, 0.000, 0.000), As at (0.500, 0.500, 0.500) and N at (0.000, 0.000, 0.500).

The calculation puts the total moment at 5.18 μB/f.u. The value obtained for the calculated total energy is -23.296 eV for the cell shown.

---

# 27
A geometry-optimized HgAs2SeN structure. Source: Alexandria, functional PBE.

The structure belongs to space group P4/mmm (No. 123); the cell edges are 5.195, 5.195 and 5.157 Å and the angles 90.00°, 90.00° and 90.00°. The inequivalent atoms are Hg at (0.000, 0.000, 0.000), As at (0.000, 0.500, 0.000), Se at (0.000, 0.000, 0.500) and N at (0.500, 0.500, 0.500).

The calculation puts the total moment at 0.48 μB/f.u. The value obtained for the offset from the most stable computed form is 1.386 eV per atom.

---

# 28
A geometry-optimized HgAs2SeN structure. Source: Alexandria, functional PBE.

The structure belongs to space group P4/mmm (No. 123); the cell edges are 4.441, 4.441 and 4.634 Å and the angles 90.00°, 90.00° and 90.00°. The inequivalent atoms are Hg at (0.000, 0.000, 0.000), As at (0.000, 0.500, 0.500), Se at (0.500, 0.500, 0.000) and N at (0.500, 0.500, 0.500).

The calculation puts the total moment at 0.00 μB/f.u. The value obtained for the offset from the most stable computed form is 0.000 eV per atom.